# CsReW2

A relaxed structure of CsReW2 (GGA-PBE, the Alexandria database).

Calculated values
- Crystal system: cubic
- Raw total energy: -30.89 eV for the cell shown
- Calculated formation energy: 2079 meV per atom
- Calculated density: 15.41 g/cm³

Unit cell a=4.7123 b=4.7123 c=4.7123 alpha=60.00 beta=60.00 gamma=60.00
Positions (direct):
Cs 0.0000 0.0000 0.0000
Re 0.5000 0.5000 0.5000
W 0.2500 0.2500 0.2500
W 0.7500 0.7500 0.7500

=====

# CsZrRe2W

A relaxed structure of CsZrRe2W (GGA-PBE, the Alexandria database).

Calculated values
- Crystal system: tetragonal
- Raw total energy: -31.01 eV for the cell shown
- Calculated formation energy: 3249 meV per atom
- Calculated density: 10.42 g/cm³

Unit cell a=4.8340 b=5.3239 c=4.8340 alpha=90.00 beta=90.00 gamma=90.00
Positions (direct):
Cs 0.0000 0.5000 0.0000
Re 0.0000 0.0000 0.5000
Re 0.5000 0.0000 0.0000
Zr 0.0000 0.0000 0.0000
W 0.5000 0.5000 0.5000

=====

# CsY3Re

A relaxed structure of CsY3Re (GGA-PBE, the Alexandria database).

Calculated values
- Crystal system: cubic
- Raw total energy: -30.42 eV for the cell shown
- Calculated formation energy: 455 meV per atom
- Calculated density: 5.44 g/cm³

Unit cell a=5.6349 b=5.6349 c=5.6349 alpha=90.00 beta=90.00 gamma=90.00
Positions (direct):
Cs 0.5000 0.5000 0.5000
Re 0.0000 0.0000 0.0000
Y 0.0000 0.5000 0.0000
Y 0.0000 0.0000 0.5000
Y 0.5000 0.0000 0.0000

=====

# CsZrRe3

A relaxed structure of CsZrRe3 (GGA-PBE, the Alexandria database).

Calculated values
- Crystal system: cubic
- Raw total energy: -29.22 eV for the cell shown
- Calculated formation energy: 3505 meV per atom
- Calculated density: 11.37 g/cm³

Unit cell a=4.8537 b=4.8537 c=4.8537 alpha=90.00 beta=90.00 gamma=90.00
Positions (direct):
Cs 0.0000 0.0000 0.0000
Re 0.0000 0.5000 0.0000
Re 0.0000 0.0000 0.5000
Re 0.5000 0.0000 0.0000
Zr 0.5000 0.5000 0.5000

=====

# CsZr2Re

A relaxed structure of CsZr2Re (GGA-PBE, the Alexandria database).

Calculated values
- Crystal system: tetragonal
- Raw total energy: -50.46 eV for the cell shown
- Distance to the lowest polymorph of the same formula: 0.114 eV/atom
- Calculated formation energy: 1292 meV per atom
- Calculated density: 4.55 g/cm³

Unit cell a=7.8964 b=7.8964 c=8.1028 alpha=60.84 beta=60.84 gamma=90.00
Positions (direct):
Cs 0.5000 0.5000 0.0000
Cs 0.2500 0.7500 0.5000
Re 0.0000 0.0000 0.0000
Re 0.7500 0.2500 0.5000
Zr 0.8744 0.1250 0.2500
Zr 0.8756 0.6250 0.2500
Zr 0.3750 0.1256 0.7500
Zr 0.8750 0.1244 0.7500

=====

# CsZr2Re

A relaxed structure of CsZr2Re (GGA-PBE, the Alexandria database).

Calculated values
- Crystal system: cubic
- Raw total energy: -25.69 eV for the cell shown
- Distance to the lowest polymorph of the same formula: 0.000 eV/atom
- Calculated formation energy: 1178 meV per atom
- Calculated density: 9.27 g/cm³

Unit cell a=5.0275 b=5.0275 c=5.0275 alpha=60.00 beta=60.00 gamma=60.00
Positions (direct):
Cs 0.0000 0.0000 0.0000
Re 0.5000 0.5000 0.5000
Zr 0.2500 0.2500 0.2500
Zr 0.7500 0.7500 0.7500

=====

# CsZr2Re2

A relaxed structure of CsZr2Re2 (GGA-PBE, the Alexandria database).

Calculated values
- Crystal system: tetragonal
- Raw total energy: -78.04 eV for the cell shown
- Calculated formation energy: 766 meV per atom
- Calculated density: 9.77 g/cm³

Unit cell a=8.6147 b=8.6147 c=3.1510 alpha=90.00 beta=90.00 gamma=90.00
Positions (direct):
Cs 0.0000 0.0000 0.0000
Cs 0.5000 0.5000 0.0000
Re 0.1295 0.6295 0.5000
Re 0.6295 0.8705 0.5000
Re 0.8705 0.3705 0.5000
Re 0.3705 0.1295 0.5000
Zr 0.3652 0.8652 0.0000
Zr 0.8652 0.6348 0.0000
Zr 0.6348 0.1348 0.0000
Zr 0.1348 0.3652 0.0000

=====

# CsRh4

A relaxed structure of CsRh4 (GGA-PBE, the Alexandria database).

Calculated values
- Crystal system: cubic
- Raw total energy: -18.26 eV for the cell shown
- Calculated formation energy: 2400 meV per atom
- Calculated density: 7.80 g/cm³

Unit cell a=4.8766 b=4.8766 c=4.8766 alpha=90.00 beta=90.00 gamma=90.00
Site moments in Bohr magnetons follow the coordinates.
Positions (direct):
Cs 0.5000 0.5000 0.5000  -0.01
Rh 0.0000 0.0000 0.0000  1.44
Rh 0.5000 0.0000 0.5000  0.44
Rh 0.0000 0.5000 0.5000  0.44
Rh 0.5000 0.5000 0.0000  0.44

=====

# CsRuRh2

A relaxed structure of CsRuRh2 (GGA-PBE, the Alexandria database).

Calculated values
- Crystal system: cubic
- Raw total energy: -19.20 eV for the cell shown
- Distance to the lowest polymorph of the same formula: 0.342 eV/atom
- Calculated formation energy: 1409 meV per atom
- Calculated density: 9.43 g/cm³

Unit cell a=4.7848 b=4.7848 c=4.7848 alpha=60.00 beta=60.00 gamma=60.00
Site moments in Bohr magnetons follow the coordinates.
Positions (direct):
Cs 0.5000 0.5000 0.5000  0.02
Ru 0.0000 0.0000 0.0000  2.11
Rh 0.2500 0.2500 0.2500  0.90
Rh 0.7500 0.7500 0.7500  0.90

=====

# CsRuRh

A relaxed structure of CsRuRh (GGA-PBE, the Alexandria database).

Calculated values
- Crystal system: monoclinic
- Raw total energy: -31.84 eV for the cell shown
- Distance to the lowest polymorph of the same formula: 0.037 eV/atom
- Calculated formation energy: 521 meV per atom
- Calculated density: 5.85 g/cm³

Unit cell a=10.3663 b=4.3915 c=4.2085 alpha=90.00 beta=89.98 gamma=86.58
Positions (direct):
Cs 0.9296 0.9710 0.2370
Cs 0.3124 0.4294 0.7376
Ru 0.6258 0.0313 0.7375
Ru 0.6163 0.3682 0.2375
Rh 0.5074 0.8607 0.2376
Rh 0.7347 0.5389 0.7375

=====

# CsRu3Rh

A relaxed structure of CsRu3Rh (GGA-PBE, the Alexandria database).

Calculated values
- Crystal system: cubic
- Raw total energy: -26.93 eV for the cell shown
- Distance to the lowest polymorph of the same formula: 0.000 eV/atom
- Calculated formation energy: 1820 meV per atom
- Calculated density: 7.63 g/cm³

Unit cell a=4.8952 b=4.8952 c=4.8952 alpha=90.00 beta=90.00 gamma=90.00
Site moments in Bohr magnetons follow the coordinates.
Positions (direct):
Cs 0.5000 0.5000 0.5000  0.00
Ru 0.0000 0.5000 0.0000  1.42
Ru 0.0000 0.0000 0.5000  1.53
Ru 0.5000 0.0000 0.0000  0.92
Rh 0.0000 0.0000 0.0000  0.23

=====

# CsRuRh

A relaxed structure of CsRuRh (GGA-PBE, the Alexandria database).

Calculated values
- Crystal system: monoclinic
- Raw total energy: -31.78 eV for the cell shown
- Distance to the lowest polymorph of the same formula: 0.048 eV/atom
- Calculated formation energy: 531 meV per atom
- Calculated density: 5.31 g/cm³

Unit cell a=10.1372 b=5.2543 c=3.9670 alpha=90.00 beta=90.04 gamma=85.02
Positions (direct):
Cs 0.9268 0.1354 0.6168
Cs 0.3158 0.5714 0.1157
Ru 0.6663 0.7484 0.1165
Ru 0.5747 0.9981 0.6164
Rh 0.5790 0.5074 0.6164
Rh 0.6638 0.2388 0.1166